A plane-wave DFT calculation with PBEsol was carried out for a relaxed NiAsSe2 crystal.

Values from the calculation:
space group = I4/mmm
formation energy from raw total energies = 25.5 meV/atom
calculated total energy = -4.716 eV per atom

Unit cell a=4.478 b=4.478 c=4.478 alpha=109.19 beta=109.19 gamma=110.04
Sites, in units of the cell vectors:
Ni  0.000  0.000  0.000
As  0.500  0.500  0.000
Se  0.000  0.500  0.500
Se  0.500  0.000  0.500